1.
CsNbSe2 | PBE | relaxed

Summary:
The value obtained for the formation energy without anion corrections is 4.2 kJ per mole of atoms. Its space-group type is Fm-3m.

Lattice parameters (Å, degrees): 5.2123 5.2123 5.2123 60.00 60.00 60.00
Atoms (fractional coordinates):
Nb1 0.0000 0.0000 0.0000
Cs1 0.5000 0.5000 0.5000
Se1 0.7500 0.7500 0.7500
Se2 0.2500 0.2500 0.2500



2.
NaHo2Hf | PBE | relaxed

Summary:
Its formation energy is 0.1411 eV per atom. Its space-group type is P4/mmm.

Lattice parameters (Å, degrees): 3.3683 3.3683 10.3777 90.00 90.00 90.00
Atoms (fractional coordinates):
Ho1 0.0000 0.0000 0.7854
Ho2 0.0000 0.0000 0.2146
Na1 0.5000 0.5000 0.5000
Hf1 0.5000 0.5000 0.0000



3.
LaYNi2 | PBE | relaxed

Summary:
Its formation energy is -0.2102 eV per atom. For the relative energy among the computed polymorphs, the calculation gives 160 meV/atom. Its space-group type is Imm2.

Lattice parameters (Å, degrees): 6.7738 6.7738 6.7738 147.67 146.14 47.52
Atoms (fractional coordinates):
Ni1 0.1788 0.6788 0.5000
Ni2 0.0580 0.0580 0.0000
Y1 0.5034 0.5034 0.0000
La1 0.7598 0.2598 0.5000



4.
TlAg2I2Br | PBE | relaxed

Summary:
The value obtained for the formation energy without anion corrections is -38.3 kJ per mole of atoms. Its space-group type is P2_1/m.

Lattice parameters (Å, degrees): 5.9007 8.6718 9.7508 106.79 90.00 90.00
Atoms (fractional coordinates):
Ag1 0.9987 0.1526 0.1743
Ag2 0.5013 0.1526 0.1743
Ag3 0.4987 0.8474 0.8257
Ag4 0.0013 0.8474 0.8257
Br1 0.7500 0.8613 0.0721
Br2 0.2500 0.1387 0.9279
Tl1 0.7500 0.3102 0.5761
Tl2 0.2500 0.6898 0.4239
I1 0.2500 0.0999 0.4070
I2 0.7500 0.4460 0.2676
I3 0.2500 0.5540 0.7324
I4 0.7500 0.9001 0.5930



5.
KBeGe2S | PBE | relaxed

Summary:
The value obtained for the formation energy without anion corrections is 30.9 kJ per mole of atoms. Its space-group type is P4/mmm.

Lattice parameters (Å, degrees): 4.4295 5.7824 4.4295 90.00 90.00 90.00
Atoms (fractional coordinates):
S1 0.5000 0.5000 0.5000
Ge1 0.5000 0.0000 0.0000
Ge2 0.0000 0.0000 0.5000
Be1 0.0000 0.0000 0.0000
K1 0.0000 0.5000 0.0000



Repeat the third record exactly.
LaYNi2 | PBE | relaxed

Summary:
Its formation energy is -0.2102 eV per atom. For the relative energy among the computed polymorphs, the calculation gives 160 meV/atom. Its space-group type is Imm2.

Lattice parameters (Å, degrees): 6.7738 6.7738 6.7738 147.67 146.14 47.52
Atoms (fractional coordinates):
Ni1 0.1788 0.6788 0.5000
Ni2 0.0580 0.0580 0.0000
Y1 0.5034 0.5034 0.0000
La1 0.7598 0.2598 0.5000